Entry 1:
Compound: CeMn4Nb
Source: Alexandria
Functional: GGA-PBE
Structure: relaxed

Values from the calculation:
ΔE_f = 112 meV/atom

a b c (Å): 7.0806 7.0806 7.0806
angles (deg): 90.00 90.00 90.00
Space group F-43m (No. 216)
Symmetry-distinct sites (fractional):
Ce (0.0000, 0.0000, 0.0000) [4 per cell]
Mn (0.1247, 0.1247, 0.6247) [16 per cell]
Nb (0.2500, 0.2500, 0.2500) [4 per cell]

Entry 2:
Compound: AcGeBr6
Source: Alexandria
Functional: GGA-PBE
Structure: relaxed

Values from the calculation:
raw formation energy = -9.132 eV per formula unit

a b c (Å): 7.1321 12.9515 7.0691
angles (deg): 90.00 106.32 90.00
Space group C2/m (No. 12)
Symmetry-distinct sites (fractional):
Ac (0.0000, 0.0000, 0.0000) [2 per cell]
Ge (0.0000, 0.5000, 0.5000) [2 per cell]
Br (0.2127, 0.3526, 0.7242) [8 per cell]
Br (0.2439, 0.5000, 0.2726) [4 per cell]

Entry 3:
Compound: Cu4Si3P2
Source: Alexandria
Functional: GGA-PBE
Structure: relaxed

Values from the calculation:
raw formation energy = 1.938 eV per formula unit

a b c (Å): 6.3098 6.3098 3.6222
angles (deg): 90.00 90.00 120.00
Space group P-62m (No. 189)
Symmetry-distinct sites (fractional):
Cu (0.0000, 0.0000, 0.0000) [1 per cell]
Cu (0.0000, 0.2634, 0.5000) [3 per cell]
Si (0.0000, 0.6231, 0.0000) [3 per cell]
P (0.3333, 0.6667, 0.5000) [2 per cell]

Entry 4:
Compound: TaGe2Os
Source: Alexandria
Functional: GGA-PBE
Structure: relaxed

Values from the calculation:
energy relative to the lowest polymorph listed for this composition = 2.17 kcal/mol of atoms
ΔE_f = 308 meV/atom

a b c (Å): 3.8976 3.8976 18.3033
angles (deg): 90.00 90.00 90.00
Space group I-42d (No. 122)
Symmetry-distinct sites (fractional):
Ta (0.0000, 0.0000, 0.0000) [4 per cell]
Ge (0.2327, 0.2500, 0.6250) [8 per cell]
Os (0.0000, 0.0000, 0.5000) [4 per cell]

Entry 5:
Compound: NaIn
Source: Alexandria
Functional: GGA-PBE
Structure: relaxed

Values from the calculation:
ΔE_f = -96 meV/atom

a b c (Å): 9.2028 9.2028 4.9369
angles (deg): 90.00 90.00 120.00
Space group P6_3/mmc (No. 194)
Symmetry-distinct sites (fractional):
Na (0.1635, 0.3271, 0.2500) [6 per cell]
In (0.1124, 0.5562, 0.7500) [6 per cell]

Entry 6:
Compound: Tb2U2Te2S5
Source: Alexandria
Functional: GGA-PBE
Structure: relaxed

Values from the calculation:
raw formation energy = -14.375 eV per formula unit

a b c (Å): 5.2098 5.2098 25.1153
angles (deg): 90.00 90.00 90.00
Space group I4/mmm (No. 139)
Symmetry-distinct sites (fractional):
Tb (0.0000, 0.0000, 0.1591) [4 per cell]
U (0.0000, 0.0000, 0.3977) [4 per cell]
Te (0.0000, 0.0000, 0.2797) [4 per cell]
S (0.0000, 0.0000, 0.5000) [2 per cell]
S (0.0000, 0.5000, 0.1128) [8 per cell]

Entry 7:
Compound: SiPHS
Source: Alexandria
Functional: GGA-PBE
Structure: relaxed

Values from the calculation:
energy relative to the lowest polymorph listed for this composition = 1.55 kcal/mol of atoms

a b c (Å): 3.4746 3.4746 6.3749
angles (deg): 90.00 90.00 120.00
Space group P3m1 (No. 156)
Symmetry-distinct sites (fractional):
Si (0.0000, 0.0000, 0.0000) [1 per cell]
P (0.3333, 0.6667, 0.1806) [1 per cell]
H (0.3333, 0.6667, 0.4044) [1 per cell]
S (0.6667, 0.3333, 0.7900) [1 per cell]

Entry 8:
Compound: Cs2ScBI6
Source: Alexandria
Functional: GGA-PBE
Structure: relaxed

Values from the calculation:
raw formation energy = -7.694 eV per formula unit

a b c (Å): 11.7164 11.7164 11.7164
angles (deg): 90.00 90.00 90.00
Space group Fm-3m (No. 225)
Symmetry-distinct sites (fractional):
Cs (0.2500, 0.2500, 0.2500) [8 per cell]
Sc (0.0000, 0.0000, 0.0000) [4 per cell]
B (0.0000, 0.0000, 0.5000) [4 per cell]
I (0.0000, 0.0000, 0.2492) [24 per cell]

Entry 9:
Compound: V3Mo2W2
Source: Alexandria
Functional: GGA-PBE
Structure: relaxed

Values from the calculation:
energy relative to the lowest polymorph listed for this composition = 13.62 kcal/mol of atoms
ΔE_f = 504 meV/atom

a b c (Å): 9.8955 4.3872 6.4762
angles (deg): 90.00 129.26 90.00
Space group C2/m (No. 12)
Symmetry-distinct sites (fractional):
V (0.0000, 0.0000, 0.0000) [2 per cell]
V (0.0018, 0.0000, 0.3369) [4 per cell]
Mo (0.1660, 0.5000, 0.8320) [4 per cell]
W (0.1650, 0.5000, 0.3205) [4 per cell]

Entry 10:
Compound: Cs2Tb2PuSe6
Source: Alexandria
Functional: GGA-PBE
Structure: relaxed

Values from the calculation:
raw formation energy = -17.734 eV per formula unit

a b c (Å): 7.2800 12.5982 8.9366
angles (deg): 90.00 106.13 90.00
Space group C2/m (No. 12)
Symmetry-distinct sites (fractional):
Cs (0.0000, 0.1689, 0.0000) [4 per cell]
Tb (0.0000, 0.3332, 0.5000) [4 per cell]
Pu (0.0000, 0.0000, 0.5000) [2 per cell]
Se (0.2258, 0.1637, 0.6821) [8 per cell]
Se (0.2349, 0.5000, 0.6817) [4 per cell]

Entry 11:
Compound: NaYUSe4
Source: Alexandria
Functional: GGA-PBE
Structure: relaxed

Values from the calculation:
raw formation energy = -10.053 eV per formula unit

a b c (Å): 8.4574 8.5908 11.9565
angles (deg): 90.00 90.00 90.00
Space group Imma (No. 74)
Symmetry-distinct sites (fractional):
Na (0.0000, 0.2500, 0.1303) [4 per cell]
Y (0.2500, 0.2500, 0.7500) [4 per cell]
U (0.0000, 0.0000, 0.5000) [4 per cell]
Se (0.0000, 0.0231, 0.7362) [8 per cell]
Se (0.2234, 0.2500, 0.5087) [8 per cell]

Entry 12:
Compound: Ti4CdIn3
Source: Alexandria
Functional: GGA-PBE
Structure: relaxed

Values from the calculation:
energy relative to the lowest polymorph listed for this composition = 0.59 kcal/mol of atoms
ΔE_f = -14 meV/atom

a b c (Å): 3.5875 3.5875 11.9534
angles (deg): 90.00 90.00 90.00
Space group P4/mmm (No. 123)
Symmetry-distinct sites (fractional):
Ti (0.0000, 0.0000, 0.1243) [2 per cell]
Ti (0.0000, 0.0000, 0.3746) [2 per cell]
Cd (0.5000, 0.5000, 0.5000) [1 per cell]
In (0.5000, 0.5000, 0.0000) [1 per cell]
In (0.5000, 0.5000, 0.2512) [2 per cell]